1.
Entry from the Open Quantum Materials Database: K2ZrSi2O7 after structural relaxation (PBE).

Raw total energy, eV per atom: -7.158
Total moment, Bohr magnetons per cell: 0.03
Crystal system: monoclinic

Cell lengths 11.3109, 11.3109, 14.1005 Å; angles 113.34, 113.34, 58.10 degrees
Closest atoms and distances in Å follow each position.
Sites, in units of the cell vectors:
K: 0.1039 0.5770 0.0636  1 O 2.40
K: 0.1048 0.1048 0.0273  5 O 2.53-2.79
K: 0.1112 0.1112 0.5797  9 O 2.85-3.04
K: 0.1218 0.6040 0.5921  8 O 2.82-3.03, 1 Si 3.14
K: 0.3687 0.3687 0.9090  6 O 2.59-2.80
K: 0.3884 0.3884 0.4291  7 O 2.78-3.07
K: 0.3960 0.8782 0.4079  8 O 2.82-3.03, 1 Si 3.14
K: 0.4230 0.8961 0.9364  1 O 2.40
K: 0.5770 0.1039 0.0636  1 O 2.40
K: 0.6040 0.1218 0.5921  8 O 2.82-3.03, 1 Si 3.14
K: 0.6116 0.6116 0.5709  7 O 2.78-3.07
K: 0.6313 0.6313 0.0910  6 O 2.59-2.80
K: 0.8782 0.3960 0.4079  8 O 2.82-3.03, 1 Si 3.14
K: 0.8888 0.8888 0.4203  9 O 2.85-3.04
K: 0.8952 0.8952 0.9727  5 O 2.53-2.79
K: 0.8961 0.4230 0.9364  1 O 2.40
Zr: 0.0126 0.0126 0.2818  6 O 2.09-2.16
Zr: 0.0162 0.4951 0.2476  5 O 2.05-2.13
Zr: 0.4877 0.4877 0.2147  6 O 2.07-2.16
Zr: 0.4951 0.0162 0.2476  5 O 2.05-2.13
Zr: 0.5049 0.9838 0.7524  5 O 2.05-2.13
Zr: 0.5123 0.5123 0.7853  6 O 2.07-2.16
Zr: 0.9838 0.5049 0.7524  5 O 2.05-2.13
Zr: 0.9874 0.9874 0.7182  6 O 2.09-2.16
Si: 0.1633 0.7259 0.8803  4 O 1.60-1.67
Si: 0.1980 0.1980 0.8788  4 O 1.64-1.65
Si: 0.2141 0.2141 0.3911  4 O 1.62-1.65
Si: 0.2275 0.6989 0.3774  4 O 1.61-1.67
Si: 0.2741 0.8367 0.1197  4 O 1.60-1.67
Si: 0.2830 0.2830 0.1494  2 O 1.67-1.80
Si: 0.2998 0.2998 0.6410  4 O 1.60-1.66
Si: 0.3011 0.7725 0.6226  4 O 1.61-1.67
Si: 0.6989 0.2275 0.3774  4 O 1.61-1.67
Si: 0.7002 0.7002 0.3590  4 O 1.60-1.66
Si: 0.7170 0.7170 0.8506  2 O 1.67-1.80
Si: 0.7259 0.1633 0.8803  4 O 1.60-1.67
Si: 0.7725 0.3011 0.6226  4 O 1.61-1.67
Si: 0.7859 0.7859 0.6089  4 O 1.62-1.65
Si: 0.8020 0.8020 0.1212  4 O 1.64-1.65
Si: 0.8367 0.2741 0.1197  4 O 1.60-1.67
O: 0.0824 0.6358 0.8671  1 Si 1.62
O: 0.0978 0.8236 0.7986  1 Si 1.60
O: 0.1044 0.1044 0.8234  1 Si 1.65
O: 0.1074 0.3559 0.8510  1 Si 1.64
O: 0.1096 0.3544 0.3421  1 Si 1.62
O: 0.1286 0.8692 0.3816  1 Si 1.63
O: 0.1308 0.8714 0.6184  1 Si 1.63
O: 0.1322 0.1322 0.3925  1 Si 1.63
O: 0.1326 0.6115 0.3401  1 Si 1.63
O: 0.1404 0.3837 0.6633  1 Si 1.63
O: 0.1638 0.8362 0.0000  2 Si 1.65
O: 0.1764 0.9022 0.2014  1 Si 1.60
O: 0.2255 0.2255 0.0076  2 Si 1.64-1.80
O: 0.2824 0.2824 0.5145  2 Si 1.65-1.66
O: 0.3216 0.6784 0.5000  2 Si 1.67
O: 0.3236 0.5798 0.0848  1 O 1.48
O: 0.3317 0.5995 0.8794  1 O 1.48
O: 0.3490 0.6305 0.3140  1 Si 1.61
O: 0.3544 0.1096 0.3421  1 Si 1.62
O: 0.3559 0.1074 0.8510  1 Si 1.64
O: 0.3642 0.9176 0.1329  1 Si 1.62
O: 0.3691 0.3691 0.1548  1 Si 1.67
O: 0.3695 0.6510 0.6860  1 Si 1.61
O: 0.3837 0.1404 0.6633  1 Si 1.63
O: 0.3885 0.8674 0.6599  1 Si 1.63
O: 0.3906 0.3906 0.6980  1 Si 1.60
O: 0.4005 0.6683 0.1206  1 O 1.48
O: 0.4202 0.6764 0.9152  1 O 1.48
O: 0.5798 0.3236 0.0848  1 O 1.48
O: 0.5995 0.3317 0.8794  1 O 1.48
O: 0.6094 0.6094 0.3020  1 Si 1.60
O: 0.6115 0.1326 0.3401  1 Si 1.63
O: 0.6163 0.8596 0.3367  1 Si 1.63
O: 0.6305 0.3490 0.3140  1 Si 1.61
O: 0.6309 0.6309 0.8452  1 Si 1.67
O: 0.6358 0.0824 0.8671  1 Si 1.62
O: 0.6441 0.8926 0.1490  1 Si 1.64
O: 0.6456 0.8904 0.6579  1 Si 1.62
O: 0.6510 0.3695 0.6860  1 Si 1.61
O: 0.6683 0.4005 0.1206  1 O 1.48
O: 0.6764 0.4202 0.9152  1 O 1.48
O: 0.6784 0.3216 0.5000  2 Si 1.67
O: 0.7176 0.7176 0.4855  2 Si 1.65-1.66
O: 0.7745 0.7745 0.9924  2 Si 1.64-1.80
O: 0.8236 0.0978 0.7986  1 Si 1.60
O: 0.8362 0.1638 0.0000  2 Si 1.65
O: 0.8596 0.6163 0.3367  1 Si 1.63
O: 0.8674 0.3885 0.6599  1 Si 1.63
O: 0.8678 0.8678 0.6075  1 Si 1.63
O: 0.8692 0.1286 0.3816  1 Si 1.63
O: 0.8714 0.1308 0.6184  1 Si 1.63
O: 0.8904 0.6456 0.6579  1 Si 1.62
O: 0.8926 0.6441 0.1490  1 Si 1.64
O: 0.8956 0.8956 0.1766  1 Si 1.65
O: 0.9022 0.1764 0.2014  1 Si 1.60
O: 0.9176 0.3642 0.1329  1 Si 1.62

***

2.
Entry from the Open Quantum Materials Database: Ta4Nb2Sn3N3 after structural relaxation (PBE).

Raw total energy, eV per atom: -9.161
Total moment, Bohr magnetons per cell: 0.00
Crystal system: monoclinic

Cell lengths 5.6680, 5.6680, 13.9822 Å; angles 101.70, 101.70, 59.94 degrees
Closest atoms and distances in Å follow each position.
Sites, in units of the cell vectors:
Ta: 0.0179 0.2019 0.0800  3 N 2.16-2.17
Ta: 0.1482 0.3068 0.4201  3 N 2.16-2.17
Ta: 0.2019 0.0179 0.5800  3 N 2.16-2.17
Ta: 0.3068 0.1482 0.9201  3 N 2.16-2.17
Ta: 0.6932 0.8518 0.0799  3 N 2.16-2.17
Ta: 0.7981 0.9821 0.4200  3 N 2.16-2.17
Ta: 0.8518 0.6932 0.5799  3 N 2.16-2.17
Ta: 0.9821 0.7981 0.9200  3 N 2.16-2.17
Nb: 0.3688 0.5281 0.0829  3 N 2.23-2.24
Nb: 0.4719 0.6312 0.4171  3 N 2.23-2.24
Nb: 0.5281 0.3688 0.5829  3 N 2.23-2.24
Nb: 0.6312 0.4719 0.9171  3 N 2.23-2.24
Sn: 0.0795 0.9205 0.2500  2 Nb 2.98, 4 Ta 2.99, 6 Sn 3.26-3.30
Sn: 0.2481 0.4151 0.7490  2 Nb 2.94-2.97, 4 Ta 2.96-2.99, 4 Sn 3.26
Sn: 0.4151 0.2481 0.2490  2 Nb 2.94-2.97, 4 Ta 2.96-2.99, 4 Sn 3.26
Sn: 0.5849 0.7519 0.7510  2 Nb 2.94-2.97, 4 Ta 2.96-2.99, 4 Sn 3.26
Sn: 0.7519 0.5849 0.2510  2 Nb 2.94-2.97, 4 Ta 2.96-2.99, 4 Sn 3.26
Sn: 0.9205 0.0795 0.7500  2 Nb 2.98, 4 Ta 2.99, 6 Sn 3.26-3.30
N: 0.0000 0.5000 0.0000  4 Ta 2.16, 2 Nb 2.24
N: 0.1528 0.6739 0.5000  4 Ta 2.16-2.17, 2 Nb 2.23
N: 0.3261 0.8472 0.0000  4 Ta 2.16-2.17, 2 Nb 2.23
N: 0.5000 0.0000 0.5000  4 Ta 2.16, 2 Nb 2.24
N: 0.6739 0.1528 0.0000  4 Ta 2.16-2.17, 2 Nb 2.23
N: 0.8472 0.3261 0.5000  4 Ta 2.16-2.17, 2 Nb 2.23

***

3.
Entry from the Open Quantum Materials Database: NbTlTeO after structural relaxation (PBE).

Raw total energy, eV per atom: -6.024
Total moment, Bohr magnetons per cell: 0.01
Crystal system: orthorhombic

Cell lengths 3.5049, 8.0192, 7.3559 Å; angles 90.00, 90.00, 90.00 degrees
Closest atoms and distances in Å follow each position.
Sites, in units of the cell vectors:
Nb: 0.0000 0.0726 0.0000  2 O 1.92-1.93
Nb: 0.0000 0.9274 0.5000  2 O 1.92-1.93
Tl: 0.5000 0.2586 0.4988  2 Nb 3.18, 1 Te 3.26, 4 O 3.26-3.30, 2 Tl 3.50
Tl: 0.5000 0.7414 0.9988  2 Nb 3.18, 1 Te 3.26, 4 O 3.26-3.30, 2 Tl 3.50
Te: 0.5000 0.3346 0.0005  2 Nb 2.74
Te: 0.5000 0.6654 0.5005  2 Nb 2.74
O: 0.0000 0.0039 0.7494  2 Nb 1.92-1.93
O: 0.0000 0.9961 0.2494  2 Nb 1.92-1.93

***

4.
Entry from the Open Quantum Materials Database: MgBiW2 after structural relaxation (PBE).

Raw total energy, eV per atom: -7.097
Total moment, Bohr magnetons per cell: 0.02
Crystal system: cubic

Cell lengths 4.7387, 4.7387, 4.7387 Å; angles 60.00, 60.00, 60.00 degrees
Closest atoms and distances in Å follow each position.
Sites, in units of the cell vectors:
Mg: 0.0000 0.0000 0.0000  4 Bi 2.90, 4 W 2.90
Bi: 0.7500 0.7500 0.7500  4 W 2.90, 4 Mg 2.90
W: 0.2500 0.2500 0.2500  4 W 2.90, 4 Mg 2.90
W: 0.5000 0.5000 0.5000  4 W 2.90, 4 Bi 2.90

***

5.
Entry from the Open Quantum Materials Database: TmBeNb after structural relaxation (PBE).

Raw total energy, eV per atom: -4.650
Total moment, Bohr magnetons per cell: 2.39
Crystal system: cubic

Cell lengths 4.5816, 4.5816, 4.5816 Å; angles 60.00, 60.00, 60.00 degrees
Closest atoms and distances in Å follow each position.
Sites, in units of the cell vectors:
Tm: 0.0000 0.0000 0.0000  4 Be 2.81, 4 Nb 2.81
Be: 0.7500 0.7500 0.7500  4 Tm 2.81
Nb: 0.2500 0.2500 0.2500  4 Tm 2.81

***

6.
Entry from the Open Quantum Materials Database: HoLuTe3Pb after structural relaxation (PBE).

Raw total energy, eV per atom: -4.557
Total moment, Bohr magnetons per cell: 0.02
Crystal system: orthorhombic

Cell lengths 7.9524, 7.9524, 11.8317 Å; angles 90.00, 90.00, 148.42 degrees
Closest atoms and distances in Å follow each position.
Sites, in units of the cell vectors:
Ho: 0.0000 0.0000 0.0000  6 Te 3.09-3.22
Ho: 0.0000 0.0000 0.5000  6 Te 3.09-3.22
Lu: 0.4544 0.5456 0.7500  4 Te 2.93-2.94
Lu: 0.5456 0.4544 0.2500  4 Te 2.93-2.94
Te: 0.0834 0.9166 0.7500  2 Lu 2.93, 2 Ho 3.22
Te: 0.3581 0.6419 0.5347  1 Lu 2.94, 2 Ho 3.09
Te: 0.3581 0.6419 0.9653  1 Lu 2.94, 2 Ho 3.09
Te: 0.6419 0.3581 0.0347  1 Lu 2.94, 2 Ho 3.09
Te: 0.6419 0.3581 0.4653  1 Lu 2.94, 2 Ho 3.09
Te: 0.9166 0.0834 0.2500  2 Lu 2.93, 2 Ho 3.22
Pb: 0.2130 0.7870 0.2500  2 Lu 3.35, 4 Te 3.51
Pb: 0.7870 0.2130 0.7500  2 Lu 3.35, 4 Te 3.51

***

- What is the raw total energy in the fourth record?
  -7.097 eV per atom

***

- Which of these has the lowest raw total energy?
  Ta4Nb2Sn3N3